Version P
Compound: SrZnH
Source: Alexandria via LeMat-Bulk
Functional: PBE-GGA
Structure: optimized geometry

a b c (Å): 3.679 3.679 5.668
angles (deg): 108.94 108.94 90.00
Fractional coordinates of all 3 atoms:
1 Zn 0.296 0.296 0.593
2 Sr 0.602 0.602 0.204
3 H 0.102 0.102 0.203

Results
Its space-group type is I4mm.

Version Q
Compound: SrZnH
Source: Alexandria via LeMat-Bulk
Functional: PBE-GGA
Structure: optimized geometry

a b c (Å): 4.103 6.014 6.618
angles (deg): 106.52 90.00 109.94
Fractional coordinates of all 6 atoms:
1 Zn 0.915 0.829 0.818
2 Sr 0.827 0.655 0.277
3 H 0.230 0.460 0.115
4 H 0.770 0.540 0.885
5 Zn 0.085 0.171 0.182
6 Sr 0.173 0.345 0.723

Results
Its space-group type is C2/m.

Which structure wins on stability? version Q wins.